Record 1
Material: CuSbP
Method: DFT, GGA-PBE
State: optimized geometry Values from VASP.

## Properties
Total DFT energy (no corrections)   -12.7 eV/cell
Space group   F-43m, No. 216
Magnetization   0.00 μB/f.u.
Formation energy without anion corrections   0.302 eV per atom
E above lowest polymorph   122.4 meV/atom

Cell and atoms, written as Quantum ESPRESSO input:
```
&SYSTEM
  ibrav = 0, nat = 3, ntyp = 3
/
ATOMIC_SPECIES
Cu 63.55 Cu.upf
Sb 121.76 Sb.upf
P 30.97 P.upf
CELL_PARAMETERS angstrom
0.000 3.098 3.098
3.098 0.000 3.098
3.098 3.098 0.000
ATOMIC_POSITIONS crystal
Cu 0.000 0.000 0.000
Sb 0.750 0.750 0.750
P 0.250 0.250 0.250
```



Record 2
Material: TiPdRu2
Method: DFT, GGA-PBE
State: optimized geometry Values from VASP.

## Properties
Total DFT energy (no corrections)   -31.9 eV/cell
Space group   Fm-3m, No. 225
Magnetization   0.00 μB/f.u.

Cell and atoms, written as Quantum ESPRESSO input:
```
&SYSTEM
  ibrav = 0, nat = 4, ntyp = 3
/
ATOMIC_SPECIES
Ti 47.87 Ti.upf
Pd 106.42 Pd.upf
Ru 101.07 Ru.upf
CELL_PARAMETERS angstrom
0.000 3.092 3.092
3.092 0.000 3.092
3.092 3.092 0.000
ATOMIC_POSITIONS crystal
Ti 0.000 0.000 0.000
Pd 0.500 0.500 0.500
Ru 0.250 0.250 0.250
Ru 0.750 0.750 0.750
```



Record 3
Material: CeScAs2
Method: DFT, GGA-PBE
State: optimized geometry Values from VASP.

## Properties
Total DFT energy (no corrections)   -53.8 eV/cell
Space group   P6_3/mmc, No. 194
Magnetization   0.77 μB/f.u.
E above lowest polymorph   46.6 meV/atom

Cell and atoms, written as Quantum ESPRESSO input:
```
&SYSTEM
  ibrav = 0, nat = 8, ntyp = 3
/
ATOMIC_SPECIES
Ce 140.12 Ce.upf
Sc 44.96 Sc.upf
As 74.92 As.upf
CELL_PARAMETERS angstrom
4.011 0.000 0.000
-2.006 3.474 0.000
0.000 0.000 13.443
ATOMIC_POSITIONS crystal
Ce 0.333 0.667 0.250
Ce 0.667 0.333 0.750
Sc 0.000 0.000 0.000
Sc 0.000 0.000 0.500
As 0.333 0.667 0.613
As 0.333 0.667 0.887
As 0.667 0.333 0.113
As 0.667 0.333 0.387
```



Record 4
Material: LaCeGd
Method: DFT, GGA-PBE
State: optimized geometry Values from VASP.

## Properties
Total DFT energy (no corrections)   -24.8 eV/cell
Space group   I4mm, No. 107
Magnetization   7.34 μB/f.u.

Cell and atoms, written as Quantum ESPRESSO input:
```
&SYSTEM
  ibrav = 0, nat = 3, ntyp = 3
/
ATOMIC_SPECIES
La 138.91 La.upf
Ce 140.12 Ce.upf
Gd 157.25 Gd.upf
CELL_PARAMETERS angstrom
-1.784 1.784 7.585
1.784 -1.784 7.585
1.784 1.784 -7.585
ATOMIC_POSITIONS crystal
La 0.000 0.000 0.000
Ce 0.342 0.342 0.000
Gd 0.686 0.686 0.000
```